[1]
# ZnInSi4 | Alexandria | PBE-GGA | optimized geometry
data_ZnInSi4
_cell_length_a 7.4891
_cell_length_b 7.4891
_cell_length_c 7.4891
_cell_angle_alpha 90.00
_cell_angle_beta 90.00
_cell_angle_gamma 90.00
_space_group_name_H-M_alt 'F -4 3 m'
_space_group_IT_number 216
_space_group_name_Hall 'F -4 2 3'
loop_
_atom_site_label
_atom_site_fract_x
_atom_site_fract_y
_atom_site_fract_z
Zn1 0.0000 0.0000 0.0000
In1 0.2500 0.2500 0.2500
Si1 0.1265 0.1265 0.6265
# * E_form (uncorrected): 2.927 eV per formula unit
# * VASP energy: -91.11 eV per cell

=====

[2]
# InP2PbCl | Alexandria | PBE-GGA | optimized geometry
data_InP2PbCl
_cell_length_a 5.4764
_cell_length_b 5.4764
_cell_length_c 5.7702
_cell_angle_alpha 90.00
_cell_angle_beta 90.00
_cell_angle_gamma 90.00
_space_group_name_H-M_alt 'P 4/m m m'
_space_group_IT_number 123
_space_group_name_Hall '-P 4 2'
loop_
_atom_site_label
_atom_site_fract_x
_atom_site_fract_y
_atom_site_fract_z
In1 0.0000 0.0000 0.0000
P1 0.0000 0.5000 0.0000
Pb1 0.5000 0.5000 0.5000
Cl1 0.0000 0.0000 0.5000
# * E_form (uncorrected): 2.757 eV per formula unit
# * VASP energy: -16.36 eV per cell

=====

[3]
# NaTl4F12 | Alexandria | PBE-GGA | optimized geometry
data_NaTl4F12
_cell_length_a 8.4284
_cell_length_b 8.6443
_cell_length_c 8.6475
_cell_angle_alpha 90.00
_cell_angle_beta 90.00
_cell_angle_gamma 90.00
_space_group_name_H-M_alt 'I m m m'
_space_group_IT_number 71
_space_group_name_Hall '-I 2 2'
loop_
_atom_site_label
_atom_site_fract_x
_atom_site_fract_y
_atom_site_fract_z
Na1 0.0000 0.0000 0.0000
Tl1 0.2500 0.2500 0.2500
F1 0.0000 0.3061 0.3045
F2 0.1782 0.0000 0.2389
F3 0.1786 0.2356 0.0000
# * E_form (uncorrected): -32.725 eV per formula unit
# * VASP energy: -131.93 eV per cell

=====

[4]
# NaHfTa2S | Alexandria | PBE-GGA | optimized geometry
data_NaHfTa2S
_cell_length_a 5.1132
_cell_length_b 5.1132
_cell_length_c 4.9485
_cell_angle_alpha 90.00
_cell_angle_beta 90.00
_cell_angle_gamma 90.00
_space_group_name_H-M_alt 'P 4/m m m'
_space_group_IT_number 123
_space_group_name_Hall '-P 4 2'
loop_
_atom_site_label
_atom_site_fract_x
_atom_site_fract_y
_atom_site_fract_z
Na1 0.0000 0.0000 0.0000
Hf1 0.5000 0.5000 0.5000
Ta1 0.0000 0.5000 0.5000
S1 0.5000 0.5000 0.0000
# * E_form (uncorrected): 6.986 eV per formula unit
# * VASP energy: -32.12 eV per cell

=====

[5]
# ErCdPt2 | Alexandria | PBE-GGA | optimized geometry
data_ErCdPt2
_cell_length_a 6.7490
_cell_length_b 6.7490
_cell_length_c 6.7490
_cell_angle_alpha 90.00
_cell_angle_beta 90.00
_cell_angle_gamma 90.00
_space_group_name_H-M_alt 'F m -3 m'
_space_group_IT_number 225
_space_group_name_Hall '-F 4 2 3'
loop_
_atom_site_label
_atom_site_fract_x
_atom_site_fract_y
_atom_site_fract_z
Er1 0.0000 0.0000 0.0000
Cd1 0.0000 0.0000 0.5000
Pt1 0.2500 0.2500 0.2500
# * calculated formation energy: -333 kJ/mol of formula units
# * VASP energy: -84.05 eV per cell

=====

[6]
# TaTl3Tc | Alexandria | PBE-GGA | optimized geometry
data_TaTl3Tc
_cell_length_a 5.4298
_cell_length_b 5.4298
_cell_length_c 5.4298
_cell_angle_alpha 90.00
_cell_angle_beta 90.00
_cell_angle_gamma 90.00
_space_group_name_H-M_alt 'P m -3 m'
_space_group_IT_number 221
_space_group_name_Hall '-P 4 2 3'
loop_
_atom_site_label
_atom_site_fract_x
_atom_site_fract_y
_atom_site_fract_z
Ta1 0.0000 0.0000 0.0000
Tl1 0.0000 0.0000 0.5000
Tc1 0.5000 0.5000 0.5000
# * calculated formation energy: 753 kJ/mol of formula units
# * VASP energy: -21.51 eV per cell

=====

[7]
# KSrSe2I | Alexandria | PBE-GGA | optimized geometry
data_KSrSe2I
_cell_length_a 5.9568
_cell_length_b 5.9568
_cell_length_c 6.5044
_cell_angle_alpha 90.00
_cell_angle_beta 90.00
_cell_angle_gamma 90.00
_space_group_name_H-M_alt 'P 4/m m m'
_space_group_IT_number 123
_space_group_name_Hall '-P 4 2'
loop_
_atom_site_label
_atom_site_fract_x
_atom_site_fract_y
_atom_site_fract_z
K1 0.0000 0.0000 0.0000
Sr1 0.5000 0.5000 0.5000
Se1 0.0000 0.5000 0.5000
I1 0.5000 0.5000 0.0000
# * E_form (uncorrected): -4.213 eV per formula unit
# * VASP energy: -15.51 eV per cell

=====

[8]
# UCoPb2S5 | Alexandria | PBE-GGA | optimized geometry
data_UCoPb2S5
_cell_length_a 3.9413
_cell_length_b 17.0467
_cell_length_c 12.6303
_cell_angle_alpha 90.00
_cell_angle_beta 90.00
_cell_angle_gamma 90.00
_space_group_name_H-M_alt 'C m c 21'
_space_group_IT_number 36
_space_group_name_Hall 'C 2c -2'
loop_
_atom_site_label
_atom_site_fract_x
_atom_site_fract_y
_atom_site_fract_z
U1 0.0000 0.1986 0.0000
Co1 0.0000 0.4365 0.4201
Pb1 0.0000 0.1001 0.6411
Pb2 0.0000 0.1158 0.2971
S1 0.0000 0.0452 0.0059
S2 0.0000 0.2887 0.6427
S3 0.0000 0.3100 0.3608
S4 0.0000 0.3540 0.9790
S5 0.0000 0.4967 0.2599
# * E_form (uncorrected): -6.585 eV per formula unit
# * VASP energy: -212.13 eV per cell

=====

[9]
# CeCrRhS3 | Alexandria | PBE-GGA | optimized geometry
data_CeCrRhS3
_cell_length_a 6.9480
_cell_length_b 3.7142
_cell_length_c 8.4691
_cell_angle_alpha 90.00
_cell_angle_beta 104.90
_cell_angle_gamma 90.00
_space_group_name_H-M_alt 'P 1 21/m 1'
_space_group_IT_number 11
_space_group_name_Hall '-P 2yb'
loop_
_atom_site_label
_atom_site_fract_x
_atom_site_fract_y
_atom_site_fract_z
Ce1 0.2129 0.2500 0.2645
Cr1 0.3223 0.7500 0.8363
Rh1 0.1337 0.2500 0.5854
S1 0.0958 0.2500 0.8669
S2 0.3162 0.7500 0.5454
S3 0.4356 0.7500 0.1286
# * E_form (uncorrected): -6.081 eV per formula unit
# * VASP energy: -82.74 eV per cell

=====

[10]
# Ca2CuH | Alexandria | PBE-GGA | optimized geometry
data_Ca2CuH
_cell_length_a 6.9999
_cell_length_b 6.9999
_cell_length_c 6.9999
_cell_angle_alpha 90.00
_cell_angle_beta 90.00
_cell_angle_gamma 90.00
_space_group_name_H-M_alt 'F m -3 m'
_space_group_IT_number 225
_space_group_name_Hall '-F 4 2 3'
loop_
_atom_site_label
_atom_site_fract_x
_atom_site_fract_y
_atom_site_fract_z
Ca1 0.2500 0.2500 0.2500
Cu1 0.0000 0.0000 0.0000
H1 0.0000 0.0000 0.5000
# * VASP energy: -44.03 eV per cell

=====

[11]
# CsSb3Pt3 | Alexandria | PBE-GGA | optimized geometry
data_CsSb3Pt3
_cell_length_a 7.5756
_cell_length_b 7.5756
_cell_length_c 27.4592
_cell_angle_alpha 90.00
_cell_angle_beta 90.00
_cell_angle_gamma 120.00
_space_group_name_H-M_alt 'R -3'
_space_group_IT_number 148
_space_group_name_Hall '-R 3'
loop_
_atom_site_label
_atom_site_fract_x
_atom_site_fract_y
_atom_site_fract_z
Cs1 0.0000 0.0000 0.1650
Sb1 0.0067 0.6589 0.0615
Pt1 0.0047 0.6789 0.9656
# * E_form (uncorrected): -2.780 eV per formula unit
# * VASP energy: -204.74 eV per cell

=====

- Among the records above, which one has the highest VASP energy?
  KSrSe2I

=====

- The lowest VASP energy belongs to which entry?
  UCoPb2S5

=====

- Among the records above, which one has the lowest VASP energy?
  UCoPb2S5